# 1
The following is a DFT calculation (PBE) of a geometry-optimized MnAg2Cl structure.

a b c (Å): 3.261 3.549 7.148
angles (deg): 89.86 90.00 90.00
Atoms (fractional coordinates):
Cl: 0.000 0.502 0.536
Ag: 0.000 0.000 0.982
Ag: 0.500 0.498 0.194
Mn: 0.500 0.501 0.788

Properties
The energy above the most stable polymorph in this dataset comes out at 0.000 eV/atom.



# 2
The following is a DFT calculation (PBE) of a geometry-optimized MnAgCl3 structure.

a b c (Å): 6.818 8.940 8.940
angles (deg): 86.21 79.32 79.32
Atoms (fractional coordinates):
Mn: 0.786 0.392 0.216
Mn: 0.214 0.608 0.784
Mn: 0.714 0.784 0.608
Mn: 0.286 0.216 0.392
Cl: 0.910 0.561 0.708
Cl: 0.388 0.378 0.867
Cl: 0.369 0.033 0.203
Cl: 0.888 0.867 0.378
Cl: 0.410 0.708 0.561
Cl: 0.631 0.967 0.797
Cl: 0.612 0.622 0.133
Cl: 0.090 0.439 0.292
Cl: 0.131 0.797 0.967
Cl: 0.590 0.292 0.439
Cl: 0.112 0.133 0.622
Cl: 0.869 0.203 0.033
Ag: 0.250 0.734 0.266
Ag: 0.750 0.266 0.734
Ag: 0.750 0.904 0.096
Ag: 0.250 0.096 0.904

Properties
The energy above the most stable polymorph in this dataset comes out at 0.017 eV/atom.



# 3
The following is a DFT calculation (PBE) of a geometry-optimized MnAg2Cl structure.

a b c (Å): 3.204 4.518 5.241
angles (deg): 90.00 90.00 90.00
Atoms (fractional coordinates):
Cl: 0.500 0.000 0.500
Ag: 0.500 0.500 0.000
Ag: 0.000 0.000 0.000
Mn: 0.000 0.500 0.500

Properties
The energy above the most stable polymorph in this dataset comes out at 0.251 eV/atom.



# 4
The following is a DFT calculation (PBE) of a geometry-optimized Mn3Ag6Cl14 structure.

a b c (Å): 6.300 10.240 10.240
angles (deg): 120.00 90.00 90.00
Atoms (fractional coordinates):
Ag: 0.306 0.245 0.219
Ag: 0.306 0.974 0.755
Ag: 0.817 0.047 0.460
Ag: 0.306 0.781 0.026
Ag: 0.817 0.540 0.587
Ag: 0.817 0.413 0.953
Cl: 0.582 0.286 0.438
Cl: 0.104 0.869 0.491
Cl: 0.039 0.037 0.228
Cl: 0.050 0.333 0.667
Cl: 0.582 0.152 0.714
Cl: 0.039 0.772 0.808
Cl: 0.039 0.192 0.963
Cl: 0.532 0.715 0.538
Cl: 0.104 0.622 0.131
Cl: 0.582 0.562 0.848
Cl: 0.104 0.509 0.378
Cl: 0.532 0.462 0.177
Cl: 0.532 0.823 0.285
Cl: 0.521 0.000 0.000
Mn: 0.322 0.667 0.333
Mn: 0.893 0.000 0.000
Mn: 0.417 0.333 0.667

Properties
For the total energy, the calculation gives -3.75 eV/atom.



# 5
The following is a DFT calculation (PBE) of a geometry-optimized MnAg5Cl12 structure.

a b c (Å): 6.521 6.809 12.516
angles (deg): 84.77 79.04 61.39
Atoms (fractional coordinates):
Mn: 0.000 0.000 0.000
Ag: 0.833 0.334 0.500
Ag: 0.331 0.337 0.000
Ag: 0.500 0.000 0.500
Ag: 0.167 0.666 0.500
Ag: 0.669 0.663 0.000
Cl: 0.674 0.274 0.106
Cl: 0.820 0.666 0.617
Cl: 0.948 0.726 0.106
Cl: 0.846 0.000 0.385
Cl: 0.326 0.726 0.894
Cl: 0.514 0.666 0.383
Cl: 0.180 0.334 0.383
Cl: 0.766 0.000 0.886
Cl: 0.486 0.334 0.617
Cl: 0.154 0.000 0.615
Cl: 0.052 0.274 0.894
Cl: 0.234 0.000 0.114

Properties
For the total energy, the calculation gives -3.00 eV/atom.



# 6
The following is a DFT calculation (PBE) of a geometry-optimized MnAg2Cl structure.

a b c (Å): 6.815 6.815 6.815
angles (deg): 153.97 141.53 47.04
Atoms (fractional coordinates):
Cl: 0.572 0.572 0.000
Ag: 0.916 0.916 0.000
Ag: 0.288 0.788 0.500
Mn: 0.723 0.223 0.500

Properties
The energy above the most stable polymorph in this dataset comes out at 0.086 eV/atom.



# 7
The following is a DFT calculation (PBE) of a geometry-optimized Mn5Ag3Cl16 structure.

a b c (Å): 7.858 7.858 11.874
angles (deg): 84.26 84.26 55.69
Atoms (fractional coordinates):
Cl: 0.039 0.039 0.198
Cl: 0.633 0.184 0.907
Cl: 0.378 0.844 0.405
Cl: 0.478 0.044 0.141
Cl: 0.488 0.488 0.148
Cl: 0.310 0.310 0.396
Cl: 0.997 0.997 0.681
Cl: 0.822 0.822 0.418
Cl: 0.844 0.378 0.405
Cl: 0.184 0.633 0.907
Cl: 0.519 0.519 0.645
Cl: 0.139 0.139 0.892
Cl: 0.957 0.491 0.643
Cl: 0.637 0.637 0.891
Cl: 0.491 0.957 0.643
Cl: 0.044 0.478 0.141
Ag: 0.819 0.819 0.792
Ag: 0.679 0.187 0.307
Ag: 0.187 0.679 0.307
Mn: 0.831 0.319 0.784
Mn: 0.671 0.671 0.524
Mn: 0.353 0.353 0.038
Mn: 0.319 0.831 0.784
Mn: 0.179 0.179 0.288

Properties
For the total energy, the calculation gives -4.34 eV/atom.



# 8
The following is a DFT calculation (PBE) of a geometry-optimized MnAgCl structure.

a b c (Å): 3.335 3.335 6.370
angles (deg): 90.00 90.00 120.00
Atoms (fractional coordinates):
Cl: 0.333 0.667 0.398
Mn: 0.667 0.333 0.649
Ag: 0.000 0.000 0.953

Properties
The energy above the most stable polymorph in this dataset comes out at 0.000 eV/atom.



# 9
The following is a DFT calculation (PBE) of a geometry-optimized NaMn2AgCl8 structure.

a b c (Å): 7.333 7.333 7.611
angles (deg): 90.00 90.00 120.00
Atoms (fractional coordinates):
Mn: 0.667 0.333 0.195
Mn: 0.333 0.667 0.805
Cl: 0.324 0.162 0.279
Cl: 0.838 0.676 0.279
Cl: 0.162 0.838 0.721
Cl: 0.162 0.324 0.721
Cl: 0.667 0.333 0.911
Cl: 0.676 0.838 0.721
Cl: 0.838 0.162 0.279
Cl: 0.333 0.667 0.089
Na: 0.000 0.000 0.000
Ag: 0.000 0.000 0.500

Properties
For the total energy, the calculation gives -4.04 eV/atom.



# 10
The following is a DFT calculation (PBE) of a geometry-optimized NaMnAg2Cl6 structure.

a b c (Å): 7.019 6.863 7.549
angles (deg): 59.46 56.39 56.33
Atoms (fractional coordinates):
Mn: 0.323 0.321 0.031
Cl: 0.954 0.534 0.264
Cl: 0.241 0.967 0.245
Cl: 0.580 0.199 0.256
Cl: 0.123 0.440 0.760
Cl: 0.691 0.119 0.788
Cl: 0.394 0.683 0.816
Ag: 0.014 0.067 0.918
Ag: 0.534 0.513 0.387
Na: 0.807 0.818 0.551

Properties
For the total energy, the calculation gives -3.63 eV/atom.



# 11
The following is a DFT calculation (PBE) of a geometry-optimized NaMn2AgCl6 structure.

a b c (Å): 6.726 6.724 7.043
angles (deg): 90.00 118.51 119.99
Atoms (fractional coordinates):
Mn: 0.606 0.303 0.895
Mn: 0.599 0.799 0.383
Cl: 0.501 0.935 0.662
Cl: 0.110 0.439 0.163
Cl: 0.741 0.565 0.662
Cl: 0.111 0.175 0.662
Cl: 0.738 0.670 0.163
Cl: 0.507 0.066 0.163
Ag: 0.038 0.518 0.542
Na: 0.015 0.007 0.008

Properties
For the total energy, the calculation gives -4.42 eV/atom.



# 12
The following is a DFT calculation (PBE) of a geometry-optimized Na2MnAgCl5 structure.

a b c (Å): 3.881 8.330 13.996
angles (deg): 90.00 90.00 103.47
Atoms (fractional coordinates):
Cl: 0.751 0.502 0.166
Cl: 0.515 0.029 0.272
Cl: 0.265 0.531 0.412
Cl: 0.395 0.790 0.028
Cl: 0.605 0.210 0.528
Cl: 0.249 0.498 0.666
Cl: 0.094 0.188 0.055
Cl: 0.735 0.469 0.912
Cl: 0.906 0.812 0.555
Cl: 0.485 0.971 0.772
Na: 0.855 0.710 0.764
Na: 0.145 0.290 0.264
Na: 0.931 0.861 0.161
Na: 0.069 0.139 0.661
Mn: 0.247 0.493 0.032
Mn: 0.753 0.507 0.532
Ag: 0.551 0.102 0.935
Ag: 0.449 0.898 0.435

Properties
For the total energy, the calculation gives -3.89 eV/atom.



# 13
The following is a DFT calculation (PBE) of a geometry-optimized NaMnAg2Cl8 structure.

a b c (Å): 7.457 7.457 7.457
angles (deg): 111.72 111.72 105.06
Atoms (fractional coordinates):
Cl: 0.297 0.113 0.815
Cl: 0.952 0.678 0.726
Cl: 0.322 0.048 0.274
Cl: 0.887 0.703 0.185
Cl: 0.774 0.048 0.726
Cl: 0.952 0.226 0.274
Cl: 0.518 0.703 0.815
Cl: 0.297 0.482 0.185
Na: 0.250 0.750 0.500
Mn: 0.000 0.000 0.000
Ag: 0.500 0.500 0.000
Ag: 0.750 0.250 0.500

Properties
For the total energy, the calculation gives -3.17 eV/atom.



# 14
The following is a DFT calculation (PBE) of a geometry-optimized MnNiAgCl6 structure.

a b c (Å): 6.181 6.181 11.958
angles (deg): 90.00 90.00 120.00
Atoms (fractional coordinates):
Cl: 0.640 0.641 0.637
Cl: 0.640 0.999 0.863
Cl: 0.999 0.359 0.137
Cl: 0.641 0.001 0.363
Cl: 0.641 0.640 0.137
Cl: 0.999 0.640 0.363
Cl: 0.001 0.641 0.863
Cl: 0.359 0.999 0.637
Cl: 0.359 0.360 0.863
Cl: 0.001 0.360 0.637
Cl: 0.360 0.001 0.137
Cl: 0.360 0.359 0.363
Ag: 0.000 0.000 0.500
Ag: 0.000 0.000 0.000
Mn: 0.333 0.667 0.250
Mn: 0.667 0.333 0.750
Ni: 0.667 0.333 0.250
Ni: 0.333 0.667 0.750

Properties
For the total energy, the calculation gives -3.90 eV/atom.



# 15
The following is a DFT calculation (PBE) of a geometry-optimized MnNiAg2Cl6 structure.

a b c (Å): 6.615 6.615 6.853
angles (deg): 61.14 61.14 60.00
Atoms (fractional coordinates):
Cl: 0.447 0.680 0.786
Cl: 0.568 0.194 0.276
Cl: 0.194 0.963 0.276
Cl: 0.963 0.568 0.276
Cl: 0.680 0.087 0.786
Cl: 0.087 0.447 0.786
Ag: 0.039 0.039 0.883
Ag: 0.547 0.547 0.358
Ni: 0.320 0.320 0.041
Mn: 0.817 0.817 0.548

Properties
For the total energy, the calculation gives -3.78 eV/atom.



# 16
The following is a DFT calculation (PBE) of a geometry-optimized NpMnAgCl6 structure.

a b c (Å): 6.756 6.756 12.153
angles (deg): 90.00 90.00 120.00
Atoms (fractional coordinates):
Cl: 0.642 0.977 0.370
Cl: 0.665 0.023 0.870
Cl: 0.335 0.977 0.130
Cl: 0.023 0.358 0.130
Cl: 0.642 0.665 0.130
Cl: 0.023 0.665 0.370
Cl: 0.358 0.023 0.630
Cl: 0.358 0.335 0.870
Cl: 0.977 0.642 0.870
Cl: 0.977 0.335 0.630
Cl: 0.665 0.642 0.630
Cl: 0.335 0.358 0.370
Np: 0.333 0.667 0.750
Np: 0.667 0.333 0.250
Mn: 0.667 0.333 0.750
Mn: 0.333 0.667 0.250
Ag: 0.000 0.000 0.000
Ag: 0.000 0.000 0.500

Properties
For the total energy, the calculation gives -5.19 eV/atom.



| no. | calculated volume (Å³/f.u.) |
| --- | --- |
| 1 | 83 |
| 2 | 131 |
| 3 | 76 |
| 4 | 572 |
| 5 | 479 |
| 6 | 86 |
| 7 | 602 |
| 8 | 61 |
| 9 | 354 |
| 10 | 241 |
| 11 | 230 |
| 12 | 220 |
| 13 | 318 |
| 14 | 198 |
| 15 | 216 |
| 16 | 240 |